(1)
This record from Alexandria via LeMat-Bulk describes a relaxed structure of Cs3TmCl6. The functional is PBEsol.

Cell lengths 8.1553, 8.1553, 8.1553 Å; angles 60.00, 60.00, 60.00 degrees
Fractional positions:
Cl  0.7773  0.7773  0.2227
Cl  0.2227  0.7773  0.2227
Cl  0.7773  0.2227  0.2227
Cl  0.2227  0.2227  0.7773
Cl  0.2227  0.7773  0.7773
Cl  0.7773  0.2227  0.7773
Cs  0.5000  0.5000  0.5000
Cs  0.7500  0.7500  0.7500
Cs  0.2500  0.2500  0.2500
Tm  0.0000  0.0000  0.0000

Calculated values
symmetry	No. 225
size of the total moment	0.2	μB per cell
formation energy (no corrections)	-2.113	eV per atom


(2)
This record from Alexandria via LeMat-Bulk describes a relaxed structure of Li2AsP2. The functional is PBEsol.

Cell lengths 3.9662, 3.9662, 5.6788 Å; angles 110.44, 110.44, 90.00 degrees
Fractional positions:
Li  0.2500  0.7500  0.5000
Li  0.7500  0.2500  0.5000
P  0.3941  0.3941  0.7881
P  0.6059  0.6059  0.2119
As  0.0000  0.0000  0.0000

Calculated values
symmetry	No. 139
size of the total moment	0.0	μB per cell
formation enthalpy at 0 K	-87.7	meV per atom


(3)
This record from Alexandria via LeMat-Bulk describes a relaxed structure of CaZrCo2. The functional is PBEsol.

Cell lengths 3.1499, 4.5229, 4.5229 Å; angles 90.00, 90.00, 90.00 degrees
Site moments in Bohr magnetons follow the coordinates.
Fractional positions:
Co  0.0000  0.5000  0.0000  0.25
Co  0.0000  0.0000  0.5000  0.25
Zr  0.5000  0.0000  0.0000  -0.08
Ca  0.5000  0.5000  0.5000  -0.02

Calculated values
symmetry	No. 123
size of the total moment	0.3	μB per cell
formation enthalpy at 0 K	119.5	meV per atom


(4)
This record from Alexandria via LeMat-Bulk describes a relaxed structure of Sm10Sb3Se7. The functional is PBEsol.

Cell lengths 7.2799, 7.2909, 11.0986 Å; angles 109.18, 96.24, 70.68 degrees
Fractional positions:
Sm  0.2346  0.9503  0.3923
Sm  0.2580  0.7531  0.0000
Sm  0.7476  0.6521  0.7987
Sm  0.7654  0.0497  0.6077
Sm  0.7654  0.4420  0.3923
Sm  0.2524  0.3479  0.2013
Sm  0.7420  0.2469  0.0000
Sm  0.2524  0.1466  0.7987
Sm  0.7476  0.8534  0.2013
Sm  0.2346  0.5580  0.6077
Se  0.5000  0.4000  0.8000
Se  0.0000  0.0962  0.1925
Se  0.5000  0.0000  0.0000
Se  0.0000  0.9038  0.8075
Se  0.0000  0.2999  0.5998
Se  0.5000  0.6000  0.2000
Se  0.0000  0.7001  0.4002
Sb  0.5000  0.7961  0.5922
Sb  0.5000  0.2039  0.4078
Sb  0.0000  0.5000  0.0000

Calculated values
symmetry	No. 12
size of the total moment	0.0	μB per cell
formation energy (no corrections)	-1.669	eV per atom


(5)
This record from Alexandria via LeMat-Bulk describes a relaxed structure of BaHfIr2W. The functional is PBEsol.

Cell lengths 4.8044, 4.8044, 5.4094 Å; angles 90.00, 90.00, 90.00 degrees
Site moments in Bohr magnetons follow the coordinates.
Fractional positions:
Ir  0.5000  0.0000  0.0000  0.01
Ir  0.0000  0.5000  0.0000  0.01
Ba  0.0000  0.0000  0.5000  0.04
W  0.5000  0.5000  0.5000  2.57
Hf  0.0000  0.0000  0.0000  -0.10

Calculated values
symmetry	No. 123
size of the total moment	3.4	μB per cell
formation enthalpy at 0 K	2110.9	meV per atom


(6)
This record from Alexandria via LeMat-Bulk describes a relaxed structure of Zr2TlIn. The functional is PBEsol.

Cell lengths 4.3400, 4.4441, 4.4441 Å; angles 90.00, 90.00, 90.00 degrees
Fractional positions:
Zr  0.0000  0.0000  0.5000
Zr  0.0000  0.5000  0.0000
In  0.5000  0.5000  0.5000
Tl  0.5000  0.0000  0.0000

Calculated values
energy above the lowest structure with this stoichiometry	0.0017	eV per atom
symmetry	No. 123
size of the total moment	0.0	μB per cell
formation enthalpy at 0 K	-275.6	meV per atom


(7)
This record from Alexandria via LeMat-Bulk describes a relaxed structure of CrP2W. The functional is PBEsol.

Cell lengths 3.0486, 3.0486, 5.3818 Å; angles 90.00, 90.00, 90.00 degrees
Fractional positions:
Cr  0.5000  0.5000  0.8093
W  0.0000  0.0000  0.4626
P  0.0000  0.0000  0.9743
P  0.5000  0.5000  0.2538

Calculated values
energy above the lowest structure with this stoichiometry	0.1252	eV per atom
symmetry	No. 99
size of the total moment	0.0	μB per cell
formation enthalpy at 0 K	-401.9	meV per atom


(8)
This record from Alexandria via LeMat-Bulk describes a relaxed structure of Sc2HgBi2. The functional is PBEsol.

Cell lengths 3.9780, 7.8848, 7.8848 Å; angles 90.00, 90.00, 90.00 degrees
Fractional positions:
Bi  0.5000  0.8404  0.3404
Bi  0.5000  0.3404  0.1596
Bi  0.5000  0.1596  0.6596
Bi  0.5000  0.6596  0.8404
Sc  0.0000  0.1459  0.3541
Sc  0.0000  0.6459  0.1459
Sc  0.0000  0.3541  0.8541
Sc  0.0000  0.8541  0.6459
Hg  0.0000  0.5000  0.5000
Hg  0.0000  0.0000  0.0000

Calculated values
symmetry	No. 127
size of the total moment	0.0	μB per cell
formation enthalpy at 0 K	-512.4	meV per atom


(9)
This record from Alexandria via LeMat-Bulk describes a relaxed structure of CaOs2. The functional is PBEsol.

Cell lengths 2.8319, 2.8319, 7.1967 Å; angles 90.00, 90.00, 120.00 degrees
Fractional positions:
Ca  0.0000  0.0000  0.0000
Os  0.3333  0.6667  0.3588
Os  0.6667  0.3333  0.6412

Calculated values
symmetry	No. 164
size of the total moment	0.0	μB per cell
formation enthalpy at 0 K	720.0	meV per atom


(10)
This record from Alexandria via LeMat-Bulk describes a relaxed structure of Re2Sb4O13. The functional is PBEsol.

Cell lengths 7.6726, 9.3230, 10.0126 Å; angles 71.92, 68.68, 66.46 degrees
Fractional positions:
O  0.5163  0.3372  0.8456
O  0.1590  0.4702  0.6662
O  0.5579  0.6510  0.7300
O  0.1302  0.6995  0.8003
O  0.6585  0.8496  0.8885
O  0.0691  0.0935  0.0100
O  0.7924  0.4192  0.9122
O  0.3415  0.1504  0.1115
O  0.2076  0.5808  0.0878
O  0.4421  0.3490  0.2700
O  0.8410  0.5298  0.3338
O  0.3714  0.1267  0.8098
O  0.0700  0.1925  0.4160
O  0.8601  0.3806  0.6244
O  0.9309  0.9065  0.9900
O  0.6286  0.8733  0.1902
O  0.6391  0.3004  0.4942
O  0.4837  0.6628  0.1544
O  0.8572  0.9706  0.2964
O  0.1428  0.0294  0.7036
O  0.3609  0.6996  0.5058
O  0.8698  0.3005  0.1997
O  0.4318  0.0073  0.4045
O  0.9300  0.8075  0.5840
O  0.5682  0.9927  0.5955
O  0.1399  0.6194  0.3756
Sb  0.8012  0.7316  0.0394
Sb  0.2216  0.9135  0.8850
Sb  0.3291  0.9595  0.2671
Sb  0.2956  0.1620  0.5507
Sb  0.7044  0.8380  0.4493
Sb  0.6709  0.0405  0.7329
Sb  0.7784  0.0865  0.1150
Sb  0.1988  0.2684  0.9606
Re  0.3195  0.5514  0.2219
Re  0.1470  0.6675  0.6324
Re  0.6805  0.4486  0.7781
Re  0.8530  0.3325  0.3676

Calculated values
symmetry	No. 2
size of the total moment	0.0	μB per cell
formation energy (no corrections)	-1.421	eV per atom


(11)
This record from Alexandria via LeMat-Bulk describes a relaxed structure of AgMoRh2. The functional is PBEsol.

Cell lengths 4.3605, 4.3605, 4.3605 Å; angles 60.00, 60.00, 60.00 degrees
Fractional positions:
Ag  0.0000  0.0000  0.0000
Rh  0.7500  0.7500  0.7500
Rh  0.2500  0.2500  0.2500
Mo  0.5000  0.5000  0.5000

Calculated values
energy above the lowest structure with this stoichiometry	0.0541	eV per atom
symmetry	No. 225
size of the total moment	0.0	μB per cell
formation enthalpy at 0 K	206.2	meV per atom


(12)
This record from Alexandria via LeMat-Bulk describes a relaxed structure of InRe2Sb. The functional is PBEsol.

Cell lengths 3.0011, 4.4824, 6.1110 Å; angles 111.52, 104.21, 90.00 degrees
Fractional positions:
In  0.2354  0.7354  0.4709
Re  0.7490  0.2490  0.4980
Re  0.0512  0.0512  0.1023
Sb  0.4644  0.4644  0.9288

Calculated values
energy above the lowest structure with this stoichiometry	0.0000	eV per atom
symmetry	No. 44
size of the total moment	0.0	μB per cell
formation energy (no corrections)	0.629	eV per atom